Compound: BaLuFeCuO5
Source: Alexandria
Functional: GGA+U
Structure: relaxed

As for the crystal system: tetragonal. The value obtained for the electronic total energy is -58.1 eV for the cell shown.

It has space group P4mm (No. 99), with a = 3.8398 Å, b = 3.8398 Å, c = 7.6367 Å, α = 90.00°, β = 90.00° and γ = 90.00°. The inequivalent atoms are Ba at (0.0000, 0.0000, 0.0000), Lu at (0.0000, 0.0000, 0.5129), Fe at (0.5000, 0.5000, 0.2807), Cu at (0.5000, 0.5000, 0.7254), O at (0.0000, 0.5000, 0.3262), O at (0.0000, 0.5000, 0.6855) and O at (0.5000, 0.5000, 0.0296).